# 1
Density functional theory data (PBE) for a geometry-optimized NaLi3Hg structure.

a = 7.6299 Å, b = 7.6299 Å, c = 5.2580 Å
α = 90.00°, β = 90.00°, γ = 132.25°
Element x y z (fractional)
Na1 0.0917 0.9083 0.7500
Na2 0.9083 0.0917 0.2500
Li1 0.0969 0.4531 0.7500
Li2 0.4531 0.0969 0.2500
Li3 0.5000 0.5000 0.0000
Li4 0.5000 0.5000 0.5000
Li5 0.5469 0.9031 0.7500
Li6 0.9031 0.5469 0.2500
Hg1 0.3302 0.6698 0.2500
Hg2 0.6698 0.3302 0.7500

Properties
Formation enthalpy at 0 K: -73 kJ/mol of formula units
Space-group type: Cmcm (63)
ρ: 3.58 g cm⁻³
Energy: -1.62 eV per atom



# 2
Density functional theory data (PBE) for a geometry-optimized Na6LiHg structure.

a = 6.2627 Å, b = 6.2644 Å, c = 6.2813 Å
α = 91.48°, β = 91.52°, γ = 90.40°
Element x y z (fractional)
Na1 0.0011 0.0045 0.2534
Na2 0.2459 0.4997 0.9951
Na3 0.4985 0.7464 0.4986
Na4 0.5015 0.2536 0.5014
Na5 0.7541 0.5003 0.0049
Na6 0.9989 0.9955 0.7466
Li1 0.5000 0.0000 0.0000
Hg1 0.0000 0.5000 0.5000

Properties
Formation enthalpy at 0 K: -25 kJ/mol of formula units
Space-group type: P-1 (2)
ρ: 2.33 g cm⁻³
Energy: -1.30 eV per atom



# 3
Density functional theory data (PBE) for a geometry-optimized Na2LiHg2 structure.

a = 7.4236 Å, b = 7.4236 Å, c = 4.7666 Å
α = 90.00°, β = 90.00°, γ = 90.00°
Element x y z (fractional)
Na1 0.1662 0.3338 0.0000
Na2 0.3338 0.8338 0.0000
Na3 0.6662 0.1662 0.0000
Na4 0.8338 0.6662 0.0000
Li1 0.0000 0.0000 0.5000
Li2 0.5000 0.5000 0.5000
Hg1 0.1421 0.6421 0.5000
Hg2 0.3579 0.1421 0.5000
Hg3 0.6421 0.8579 0.5000
Hg4 0.8579 0.3579 0.5000

Properties
Formation enthalpy at 0 K: -97 kJ/mol of formula units
Space-group type: P4/mbm (127)
ρ: 5.74 g cm⁻³
Energy: -1.23 eV per atom



# 4
Density functional theory data (PBE) for a geometry-optimized NaLi3Hg structure.

a = 8.1411 Å, b = 8.1411 Å, c = 10.7678 Å
α = 121.14°, β = 121.14°, γ = 21.78°
Element x y z (fractional)
Na1 0.0781 0.0781 0.1934
Na2 0.9219 0.9219 0.8066
Li1 0.1596 0.1596 0.9655
Li2 0.3287 0.3287 0.4858
Li3 0.4462 0.4462 0.3358
Li4 0.5538 0.5538 0.6642
Li5 0.6713 0.6713 0.5142
Li6 0.8404 0.8404 0.0345
Hg1 0.2305 0.2305 0.7684
Hg2 0.7695 0.7695 0.2316

Properties
Formation enthalpy at 0 K: -58 kJ/mol of formula units
Space-group type: C2/m (12)
ρ: 3.61 g cm⁻³
Energy: -1.59 eV per atom



# 5
Density functional theory data (PBE) for a geometry-optimized NaLi14Hg structure.

a = 6.2659 Å, b = 6.2659 Å, c = 8.2095 Å
α = 90.00°, β = 90.00°, γ = 90.00°
Element x y z (fractional)
Na1 0.0000 0.0000 0.0000
Li1 0.0000 0.0000 0.5000
Li2 0.0000 0.5000 0.0000
Li3 0.0000 0.5000 0.5000
Li4 0.2644 0.2644 0.2473
Li5 0.2644 0.2644 0.7527
Li6 0.2644 0.7356 0.2473
Li7 0.2644 0.7356 0.7527
Li8 0.5000 0.0000 0.0000
Li9 0.5000 0.0000 0.5000
Li10 0.5000 0.5000 0.5000
Li11 0.7356 0.2644 0.2473
Li12 0.7356 0.2644 0.7527
Li13 0.7356 0.7356 0.2473
Li14 0.7356 0.7356 0.7527
Hg1 0.5000 0.5000 0.0000

Properties
Formation enthalpy at 0 K: -75 kJ/mol of formula units
Space-group type: P4/mmm (123)
ρ: 1.65 g cm⁻³
Energy: -1.82 eV per atom



# 6
Density functional theory data (PBE) for a geometry-optimized NaLiNdHg structure.

a = 5.2593 Å, b = 5.2593 Å, c = 5.2593 Å
α = 60.00°, β = 60.00°, γ = 60.00°
Element x y z (fractional)
Na1 0.0000 0.0000 0.0000
Li1 0.2500 0.2500 0.2500
Nd1 0.5000 0.5000 0.5000
Hg1 0.7500 0.7500 0.7500

Properties
Formation enthalpy at 0 K: -46 kJ/mol of formula units
Space-group type: F-43m (216)
ρ: 6.05 g cm⁻³
Energy: -2.19 eV per atom